# Pd6PtW PBE optimized geometry
# E above lowest polymorph: 0 meV per atom
# Fermi-level density of states: 14.0 states/eV per cell
# calculated total energy: -101.39 eV per cell
# theoretical density: 13.774 g/cm3
data_Pd6PtW
_chemical_formula_sum 'Pd12 Pt2 W2'
_cell_length_a 4.509
_cell_length_b 5.588
_cell_length_c 9.737
_cell_angle_alpha 90.00
_cell_angle_beta 90.00
_cell_angle_gamma 90.00
_space_group_name_H-M_alt 'A m m 2'
_space_group_IT_number 38
loop_
_space_group_symop_operation_xyz
'x,y,z'
'-x,-y,z'
'-x,y,z'
'x,-y,z'
'x,y+1/2,z+1/2'
'-x,-y+1/2,z+1/2'
'-x,y+1/2,z+1/2'
'x,-y+1/2,z+1/2'
loop_
_atom_site_label
_atom_site_fract_x
_atom_site_fract_y
_atom_site_fract_z
Pd1 0.000 0.000 0.000
Pd2 0.000 0.247 0.251
Pd3 0.500 0.000 0.838
Pd4 0.500 0.249 0.088
Pt1 0.000 0.000 0.494
W1 0.500 0.000 0.336